SrCrF3 (PBE+U, relaxed); N(E_F) = 0.0 states/eV per cell; polymorph energy (0 for the lowest one) = 0.00 eV per formula unit; calculated total energy = -5.468 eV per atom
1.0
4.715 0.000 0.000
0.000 4.715 0.000
0.000 0.000 4.715
Sr Cr F
1 1 3
Direct
0.000 0.000 0.000
0.500 0.500 0.500
0.000 0.000 0.500
0.000 0.500 0.000
0.500 0.000 0.000